# GGA+U ZnFeCuF2, relaxed
data_ZnFeCuF2
_space_group_name_H-M_alt 'P 1'
_space_group_IT_number 1
_cell_length_a 3.7987
_cell_length_b 6.3473
_cell_length_c 3.7987
_cell_angle_alpha 90.00
_cell_angle_beta 90.00
_cell_angle_gamma 90.00
loop_
_space_group_symop_operation_xyz
'x,y,z'
loop_
_atom_site_label
_atom_site_fract_x
_atom_site_fract_y
_atom_site_fract_z
Zn1 0.0000 0.0000 0.0000
Cu1 0.5000 0.5000 0.5000
Fe1 0.0000 0.5000 0.0000
F1 0.0000 0.0000 0.5000
F2 0.5000 0.0000 0.0000
# uncorrected energy	-3.558	eV/atom
# SG	P4/mmm, No. 123
# ρ	4039	kg/m3